First-principles (PBE-GGA) data for a geometry-optimized TmTlSe2 structure, as listed in the Alexandria database.

It has space group R-3m (No. 166, hexagonal axes), with a = 4.1352 Å, b = 4.1352 Å, c = 23.3450 Å, α = 90.00°, β = 90.00° and γ = 120.00°. Symmetry generates all atoms from Tm at (0.0000, 0.0000, 0.0000), Tl at (0.0000, 0.0000, 0.5000) and Se at (0.0000, 0.0000, 0.2662).

As for the spin magnetization: 0.0000 μB/atom. The formation energy from raw total energies comes out at -1.37 eV/atom. The calculation puts the volume at 345.72 Å³/cell.